No. 1
## Mg8InPb6 (PBE)

Data for an optimized crystal structure of Mg8InPb6.

a b c (Å): 8.973 8.973 7.742
angles (deg): 54.58 54.58 60.00
Positions (direct):
Pb  0.559  0.841  0.229
Pb  0.841  0.371  0.229
In  0.000  0.000  0.000
Pb  0.371  0.559  0.229
Mg  0.626  0.135  0.296
Mg  0.245  0.245  0.265
Mg  0.374  0.865  0.704
Mg  0.135  0.943  0.296
Mg  0.057  0.374  0.704
Mg  0.755  0.755  0.735
Pb  0.629  0.441  0.771
Mg  0.943  0.626  0.296
Mg  0.865  0.057  0.704
Pb  0.159  0.629  0.771
Pb  0.441  0.159  0.771

As for the symmetry: R-3 (148). The calculation puts the formation energy at 14.6 kJ/mol of formula units.

***

No. 2
## FeCu2As2 (PBE)

Data for an optimized crystal structure of FeCu2As2.

a b c (Å): 6.043 6.043 4.228
angles (deg): 90.00 90.00 90.00
Positions (direct):
Fe  0.500  0.500  0.000
Fe  0.000  0.000  0.000
As  0.857  0.643  0.000
Cu  0.772  0.272  0.500
As  0.643  0.143  0.000
As  0.143  0.357  0.000
Cu  0.228  0.728  0.500
As  0.357  0.857  0.000
Cu  0.728  0.772  0.500
Cu  0.272  0.228  0.500

The calculation puts the energy above the most stable polymorph in this dataset at 0 meV per atom. As for the symmetry: P4/mbm (127). The calculation puts the formation energy at 76.9 kJ/mol of formula units.

***

No. 3
## SmDy3Ho (PBE)

Data for an optimized crystal structure of SmDy3Ho.

a b c (Å): 3.603 8.512 11.579
angles (deg): 90.00 90.00 102.17
Positions (direct):
Ho  0.671  0.834  0.750
Sm  0.992  0.505  0.250
Dy  0.156  0.810  0.500
Dy  0.671  0.847  0.250
Ho  0.329  0.166  0.250
Dy  0.844  0.190  0.000
Dy  0.156  0.810  0.000
Dy  0.844  0.190  0.500
Dy  0.329  0.153  0.750
Sm  0.008  0.495  0.750

The calculation puts the energy above the most stable polymorph in this dataset at 286 meV per atom. As for the symmetry: P2_1/m (11). The calculation puts the formation energy at 146.4 kJ/mol of formula units.

***

No. 4
## ScRu2Rh2 (PBE)

Data for an optimized crystal structure of ScRu2Rh2.

a b c (Å): 7.504 7.504 2.792
angles (deg): 90.00 90.00 90.00
Positions (direct):
Rh  0.821  0.321  0.500
Sc  0.000  0.000  0.000
Sc  0.500  0.500  0.000
Ru  0.119  0.381  0.000
Rh  0.679  0.821  0.500
Ru  0.381  0.881  0.000
Ru  0.881  0.619  0.000
Rh  0.321  0.179  0.500
Rh  0.179  0.679  0.500
Ru  0.619  0.119  0.000

As for the symmetry: P4/mbm (127). The calculation puts the formation energy at -50.1 kJ/mol of formula units.

***

No. 5
## CaSc2Rh (PBE)

Data for an optimized crystal structure of CaSc2Rh.

a b c (Å): 10.231 10.231 10.231
angles (deg): 19.73 19.73 19.73
Positions (direct):
Ca  0.000  0.000  0.000
Sc  0.111  0.111  0.111
Sc  0.889  0.889  0.889
Rh  0.500  0.500  0.500

The calculation puts the energy above the most stable polymorph in this dataset at 235 meV per atom. As for the symmetry: R-3m (166). The calculation puts the formation energy at -61.0 kJ/mol of formula units.

***

No. 6
## Na12Hg3Se5 (PBE)

Data for an optimized crystal structure of Na12Hg3Se5.

a b c (Å): 15.575 15.575 15.575
angles (deg): 109.47 109.47 109.47
Positions (direct):
Se  0.375  0.125  0.750
Na  0.590  0.610  0.415
Hg  0.375  0.750  0.625
Na  0.825  0.910  0.020
Na  0.590  0.980  0.675
Hg  0.875  0.125  0.250
Se  0.750  0.125  0.875
Na  0.695  0.110  0.020
Na  0.825  0.915  0.305
Na  0.175  0.090  0.980
Hg  0.375  0.625  0.250
Se  0.000  0.500  0.000
Na  0.175  0.085  0.695
Na  0.915  0.825  0.805
Na  0.390  0.410  0.085
Na  0.890  0.305  0.480
Na  0.980  0.390  0.305
Na  0.390  0.980  0.805
Hg  0.625  0.375  0.750
Na  0.805  0.325  0.915
Se  0.250  0.375  0.625
Se  0.750  0.625  0.375
Se  0.625  0.875  0.250
Na  0.520  0.195  0.110
Na  0.305  0.415  0.825
Na  0.110  0.695  0.520
Na  0.085  0.910  0.390
Se  0.125  0.375  0.250
Se  0.000  0.000  0.000
Na  0.110  0.415  0.090
Na  0.585  0.695  0.675
Na  0.410  0.390  0.585
Na  0.910  0.085  0.890
Na  0.325  0.805  0.415
Na  0.675  0.480  0.590
Na  0.020  0.610  0.695
Se  0.125  0.750  0.375
Na  0.805  0.480  0.390
Se  0.875  0.250  0.625
Se  0.500  0.000  0.500
Na  0.410  0.020  0.325
Hg  0.250  0.625  0.875
Se  0.250  0.875  0.125
Na  0.085  0.175  0.195
Na  0.520  0.325  0.910
Se  0.375  0.250  0.125
Na  0.585  0.890  0.410
Na  0.195  0.520  0.610
Hg  0.125  0.250  0.875
Na  0.910  0.825  0.520
Na  0.305  0.890  0.980
Se  0.000  0.000  0.500
Na  0.480  0.675  0.090
Na  0.480  0.805  0.890
Na  0.090  0.175  0.480
Hg  0.750  0.375  0.125
Se  0.625  0.750  0.875
Hg  0.625  0.250  0.375
Se  0.500  0.500  0.500
Hg  0.125  0.875  0.750
Hg  0.250  0.125  0.375
Hg  0.750  0.875  0.625
Se  0.000  0.500  0.500
Na  0.415  0.305  0.325
Na  0.610  0.020  0.195
Na  0.915  0.090  0.610
Na  0.020  0.410  0.825
Se  0.875  0.625  0.750
Hg  0.875  0.750  0.125
Na  0.415  0.110  0.590
Se  0.500  0.500  0.000
Na  0.980  0.590  0.175
Na  0.195  0.675  0.085
Na  0.610  0.590  0.915
Se  0.500  0.000  0.000
Na  0.675  0.195  0.585
Na  0.695  0.585  0.175
Na  0.890  0.585  0.910
Na  0.090  0.915  0.110
Na  0.325  0.520  0.410

As for the symmetry: Ia-3d (230). As for the formation energy from raw total energies: -0.61 eV per atom.

***

No. 7
## CaHfIn2 (PBE)

Data for an optimized crystal structure of CaHfIn2.

a b c (Å): 8.172 8.172 6.670
angles (deg): 52.22 52.22 90.00
Positions (direct):
Ca  0.250  0.750  0.500
In  0.645  0.125  0.250
In  0.105  0.625  0.250
Hf  0.000  0.000  0.000
Ca  0.500  0.500  0.000
In  0.875  0.895  0.750
In  0.375  0.355  0.750
Hf  0.750  0.250  0.500

The calculation puts the energy above the most stable polymorph in this dataset at 491 meV per atom. As for the symmetry: I-42d (122). The calculation puts the formation energy at 86.1 kJ/mol of formula units.

***

No. 8
## NpNiPdSe3 (PBE)

Data for an optimized crystal structure of NpNiPdSe3.

a b c (Å): 3.950 7.288 8.492
angles (deg): 99.67 90.00 90.00
Positions (direct):
Pd  0.250  0.659  0.187
Se  0.250  0.592  0.865
Se  0.750  0.903  0.129
Se  0.250  0.097  0.871
Ni  0.250  0.085  0.580
Se  0.750  0.248  0.511
Se  0.250  0.752  0.489
Np  0.750  0.823  0.756
Se  0.750  0.408  0.135
Pd  0.750  0.341  0.813
Ni  0.750  0.915  0.420
Np  0.250  0.177  0.244

As for the symmetry: P2_1/m (11). As for the formation energy from raw total energies: -0.55 eV per atom.

***

One value per record, in order, for M_tot: 0.0000 0.2849 0.0000 0.0000 0.0000 0.0000 0.0000 0.5325 μB per atom.